No. 1
Computed, not measured: a relaxed CaHgRh2 crystal at the PBE level of DFT.

Unit cell a=5.2114 b=5.2114 c=5.2114 alpha=133.38 beta=133.38 gamma=68.06
Sites, in units of the cell vectors:
Ca 0.5000 0.5000 0.0000
Rh 0.0000 0.0000 0.0000
Rh 0.2500 0.7500 0.5000
Hg 0.7500 0.2500 0.5000

- Formation energy: -0.352 eV per formula unit
- Total magnetization: 0.00 μB/atom

No. 2
Computed, not measured: a relaxed NaHoTh2Se4 crystal at the PBE level of DFT.

Unit cell a=4.0118 b=7.5933 c=6.9695 alpha=72.59 beta=90.00 gamma=90.00
Sites, in units of the cell vectors:
Na 0.0000 0.5000 0.5000
Ho 0.5000 0.5000 0.0000
Th 0.0000 0.0000 0.0000
Th 0.5000 0.0000 0.5000
Se 0.0000 0.7322 0.7551
Se 0.0000 0.2678 0.2449
Se 0.5000 0.7365 0.2520
Se 0.5000 0.2635 0.7480

- Total magnetization: 0.00 μB/atom
- Raw formation energy: -1.557 eV/atom

No. 3
Computed, not measured: a relaxed Ga2NiSnPd crystal at the PBE level of DFT.

Unit cell a=5.1655 b=4.9818 c=5.1655 alpha=90.00 beta=90.00 gamma=90.00
Sites, in units of the cell vectors:
Ni 0.5000 0.5000 0.5000
Ga 0.0000 0.0000 0.5000
Ga 0.5000 0.0000 0.0000
Sn 0.0000 0.0000 0.0000
Pd 0.0000 0.5000 0.0000

- Formation energy: 5.089 eV per formula unit
- Total magnetization: 0.00 μB/atom

No. 4
Computed, not measured: a relaxed Pr2Ho6Zn crystal at the PBE level of DFT.

Unit cell a=5.4335 b=9.7285 c=10.2228 alpha=89.99 beta=90.00 gamma=90.00
Sites, in units of the cell vectors:
Pr 0.0000 0.3131 0.7487
Pr 0.5000 0.8131 0.7513
Pr 0.5000 0.1869 0.2487
Pr 0.0000 0.6869 0.2513
Ho 0.0000 0.0137 0.1872
Ho 0.0000 0.6907 0.5752
Ho 0.0000 0.6360 0.8984
Ho 0.5000 0.1360 0.6016
Ho 0.5000 0.1907 0.9248
Ho 0.5000 0.5137 0.3128
Ho 0.0000 0.9863 0.8128
Ho 0.0000 0.3093 0.4248
Ho 0.0000 0.3640 0.1016
Ho 0.5000 0.8640 0.3984
Ho 0.5000 0.8093 0.0752
Ho 0.5000 0.4863 0.6872
Zn 0.5000 0.5000 0.0000
Zn 0.0000 0.0000 0.5000

- Formation energy: 0.322 eV per formula unit
- Total magnetization: 0.00 μB/atom